DFT (PBE) results for an optimized crystal structure of RuIBr3.

Unit cell a=8.690 b=8.690 c=6.419 alpha=103.27 beta=103.27 gamma=126.78
Positions (direct):
Ru (0.067, 0.933, 0.500)
Ru (0.933, 0.067, 0.000)
I (0.578, 0.942, 0.004)
I (0.942, 0.578, 0.504)
Br (0.058, 0.404, 0.003)
Br (0.152, 0.262, 0.455)
Br (0.262, 0.152, 0.955)
Br (0.404, 0.058, 0.503)
Br (0.741, 0.850, 0.546)
Br (0.850, 0.741, 0.046)

The spin magnetization is 3.916 Bohr magnetons per cell. Its distance to the lowest polymorph of the same formula is 0.0 meV/atom. For the total DFT energy (no corrections), the calculation gives -33.24 eV/cell. The formation energy from raw total energies comes out at -0.155 eV/atom.

=====

DFT (PBE) results for an optimized crystal structure of RuIBr3.

Unit cell a=5.120 b=5.120 c=5.120 alpha=90.00 beta=90.00 gamma=90.00
Positions (direct):
Ru (0.000, 0.000, 0.000)
I (0.500, 0.500, 0.500)
Br (0.000, 0.000, 0.500)
Br (0.000, 0.500, 0.000)
Br (0.500, 0.000, 0.000)

The spin magnetization is 1.735 Bohr magnetons per cell. Its distance to the lowest polymorph of the same formula is 411.2 meV/atom. For the total DFT energy (no corrections), the calculation gives -14.56 eV/cell. The formation energy from raw total energies comes out at 0.256 eV/atom.

=====

DFT (PBE) results for an optimized crystal structure of RuI3Br.

Unit cell a=5.415 b=5.415 c=5.415 alpha=90.00 beta=90.00 gamma=90.00
Positions (direct):
Ru (0.000, 0.000, 0.000)
I (0.000, 0.000, 0.500)
I (0.000, 0.500, 0.000)
I (0.500, 0.000, 0.000)
Br (0.500, 0.500, 0.500)

The spin magnetization is 1.728 Bohr magnetons per cell. Its distance to the lowest polymorph of the same formula is 411.6 meV/atom. For the total DFT energy (no corrections), the calculation gives -13.78 eV/cell. The formation energy from raw total energies comes out at 0.364 eV/atom.

=====

DFT (PBE) results for an optimized crystal structure of RuI2Br8.

Unit cell a=8.392 b=8.392 c=8.185 alpha=109.90 beta=109.90 gamma=59.57
Positions (direct):
Ru (0.000, 0.000, 0.000)
I (0.210, 0.210, 0.771)
I (0.790, 0.790, 0.229)
Br (0.159, 0.746, 0.177)
Br (0.172, 0.172, 0.223)
Br (0.254, 0.841, 0.823)
Br (0.377, 0.377, 0.738)
Br (0.623, 0.623, 0.262)
Br (0.746, 0.159, 0.177)
Br (0.828, 0.828, 0.777)
Br (0.841, 0.254, 0.823)

The spin magnetization is 2.063 Bohr magnetons per cell. For the total DFT energy (no corrections), the calculation gives -26.12 eV/cell. The formation energy from raw total energies comes out at -0.033 eV/atom.

=====

DFT (PBE) results for an optimized crystal structure of SbRuI2Br.

Unit cell a=5.729 b=5.729 c=5.785 alpha=90.00 beta=90.00 gamma=90.00
Positions (direct):
Sb (0.000, 0.000, 0.000)
Ru (0.500, 0.500, 0.000)
I (0.000, 0.500, 0.500)
I (0.500, 0.000, 0.500)
Br (0.000, 0.000, 0.500)

The spin magnetization is 4.232 Bohr magnetons per cell. Its distance to the lowest polymorph of the same formula is 1170.1 meV/atom. For the total DFT energy (no corrections), the calculation gives -10.67 eV/cell. The formation energy from raw total energies comes out at 1.500 eV/atom.

=====

DFT (PBE) results for an optimized crystal structure of SbRuI2Br.

Unit cell a=5.451 b=5.451 c=5.117 alpha=90.00 beta=90.00 gamma=90.00
Positions (direct):
Sb (0.000, 0.000, 0.000)
Ru (0.000, 0.000, 0.500)
I (0.000, 0.500, 0.500)
I (0.500, 0.000, 0.500)
Br (0.500, 0.500, 0.000)

The spin magnetization is 0.000 Bohr magnetons per cell. Its distance to the lowest polymorph of the same formula is 0.0 meV/atom. For the total DFT energy (no corrections), the calculation gives -16.52 eV/cell. The formation energy from raw total energies comes out at 0.330 eV/atom.

=====

DFT (PBE) results for an optimized crystal structure of Sb2RuIBr.

Unit cell a=5.537 b=5.537 c=5.578 alpha=90.00 beta=90.00 gamma=90.00
Positions (direct):
Sb (0.000, 0.500, 0.000)
Sb (0.500, 0.000, 0.000)
Ru (0.000, 0.000, 0.500)
I (0.500, 0.500, 0.500)
Br (0.500, 0.500, 0.000)

The spin magnetization is 2.739 Bohr magnetons per cell. Its distance to the lowest polymorph of the same formula is 1327.1 meV/atom. For the total DFT energy (no corrections), the calculation gives -12.64 eV/cell. The formation energy from raw total energies comes out at 1.621 eV/atom.

=====

DFT (PBE) results for an optimized crystal structure of Sb2RuIBr.

Unit cell a=5.133 b=5.133 c=5.570 alpha=90.00 beta=90.00 gamma=90.00
Positions (direct):
Sb (0.000, 0.500, 0.000)
Sb (0.500, 0.000, 0.000)
Ru (0.000, 0.000, 0.000)
I (0.000, 0.000, 0.500)
Br (0.500, 0.500, 0.500)

The spin magnetization is 0.000 Bohr magnetons per cell. Its distance to the lowest polymorph of the same formula is 0.0 meV/atom. For the total DFT energy (no corrections), the calculation gives -19.28 eV/cell. The formation energy from raw total energies comes out at 0.294 eV/atom.

=====

DFT (PBE) results for an optimized crystal structure of RuSe2IBr.

Unit cell a=4.903 b=4.903 c=5.172 alpha=90.00 beta=90.00 gamma=90.00
Positions (direct):
Ru (0.000, 0.000, 0.000)
Se (0.000, 0.500, 0.000)
Se (0.500, 0.000, 0.000)
I (0.500, 0.500, 0.500)
Br (0.000, 0.000, 0.500)

The spin magnetization is 0.000 Bohr magnetons per cell. Its distance to the lowest polymorph of the same formula is 0.0 meV/atom. For the total DFT energy (no corrections), the calculation gives -17.90 eV/cell. The formation energy from raw total energies comes out at 0.315 eV/atom.

=====

DFT (PBE) results for an optimized crystal structure of TeRuI2Br.

Unit cell a=5.783 b=5.783 c=5.685 alpha=90.00 beta=90.00 gamma=90.00
Positions (direct):
Te (0.000, 0.000, 0.000)
Ru (0.500, 0.500, 0.000)
I (0.000, 0.500, 0.500)
I (0.500, 0.000, 0.500)
Br (0.000, 0.000, 0.500)

The spin magnetization is 3.415 Bohr magnetons per cell. Its distance to the lowest polymorph of the same formula is 1032.4 meV/atom. For the total DFT energy (no corrections), the calculation gives -10.27 eV/cell. The formation energy from raw total energies comes out at 1.385 eV/atom.

=====

DFT (PBE) results for an optimized crystal structure of TeRuI2Br.

Unit cell a=5.518 b=5.518 c=5.050 alpha=90.00 beta=90.00 gamma=90.00
Positions (direct):
Te (0.000, 0.000, 0.000)
Ru (0.000, 0.000, 0.500)
I (0.000, 0.500, 0.500)
I (0.500, 0.000, 0.500)
Br (0.500, 0.500, 0.000)

The spin magnetization is 0.000 Bohr magnetons per cell. Its distance to the lowest polymorph of the same formula is 0.0 meV/atom. For the total DFT energy (no corrections), the calculation gives -15.43 eV/cell. The formation energy from raw total energies comes out at 0.353 eV/atom.

=====

DFT (PBE) results for an optimized crystal structure of SbSI2Br.

Unit cell a=5.351 b=5.351 c=5.772 alpha=90.00 beta=90.00 gamma=90.00
Positions (direct):
Sb (0.000, 0.000, 0.000)
S (0.000, 0.000, 0.500)
I (0.000, 0.500, 0.500)
I (0.500, 0.000, 0.500)
Br (0.500, 0.500, 0.000)

The spin magnetization is 0.777 Bohr magnetons per cell. Its distance to the lowest polymorph of the same formula is 0.0 meV/atom. For the total DFT energy (no corrections), the calculation gives -10.80 eV/cell. The formation energy from raw total energies comes out at 0.445 eV/atom.

=====

DFT (PBE) results for an optimized crystal structure of Sb2SIBr.

Unit cell a=5.320 b=5.320 c=5.616 alpha=90.00 beta=90.00 gamma=90.00
Positions (direct):
Sb (0.000, 0.500, 0.000)
Sb (0.500, 0.000, 0.000)
S (0.000, 0.000, 0.000)
I (0.000, 0.000, 0.500)
Br (0.500, 0.500, 0.500)

The spin magnetization is 0.507 Bohr magnetons per cell. Its distance to the lowest polymorph of the same formula is 0.0 meV/atom. For the total DFT energy (no corrections), the calculation gives -13.17 eV/cell. The formation energy from raw total energies comes out at 0.486 eV/atom.

=====

DFT (PBE) results for an optimized crystal structure of Sb2SIBr.

Unit cell a=5.886 b=5.886 c=5.155 alpha=90.00 beta=90.00 gamma=90.00
Positions (direct):
Sb (0.000, 0.500, 0.000)
Sb (0.500, 0.000, 0.000)
S (0.000, 0.000, 0.500)
I (0.000, 0.000, 0.000)
Br (0.500, 0.500, 0.500)

The spin magnetization is 0.970 Bohr magnetons per cell. Its distance to the lowest polymorph of the same formula is 444.7 meV/atom. For the total DFT energy (no corrections), the calculation gives -10.94 eV/cell. The formation energy from raw total energies comes out at 0.931 eV/atom.

=====

DFT (PBE) results for an optimized crystal structure of SbSI2Br.

Unit cell a=5.724 b=5.724 c=5.789 alpha=90.00 beta=90.00 gamma=90.00
Positions (direct):
Sb (0.000, 0.000, 0.000)
S (0.500, 0.500, 0.000)
I (0.000, 0.500, 0.500)
I (0.500, 0.000, 0.500)
Br (0.000, 0.000, 0.500)

The spin magnetization is 0.000 Bohr magnetons per cell. Its distance to the lowest polymorph of the same formula is 586.0 meV/atom. For the total DFT energy (no corrections), the calculation gives -7.87 eV/cell. The formation energy from raw total energies comes out at 1.031 eV/atom.

=====

DFT (PBE) results for an optimized crystal structure of Sb2SIBr.

Unit cell a=5.666 b=5.666 c=5.611 alpha=90.00 beta=90.00 gamma=90.00
Positions (direct):
Sb (0.000, 0.500, 0.000)
Sb (0.500, 0.000, 0.000)
S (0.000, 0.000, 0.500)
I (0.500, 0.500, 0.500)
Br (0.500, 0.500, 0.000)

The spin magnetization is 0.422 Bohr magnetons per cell. Its distance to the lowest polymorph of the same formula is 653.8 meV/atom. For the total DFT energy (no corrections), the calculation gives -9.90 eV/cell. The formation energy from raw total energies comes out at 1.140 eV/atom.

=====

DFT (PBE) results for an optimized crystal structure of Se2SIBr.

Unit cell a=5.440 b=5.440 c=5.730 alpha=90.00 beta=90.00 gamma=90.00
Positions (direct):
Se (0.000, 0.500, 0.000)
Se (0.500, 0.000, 0.000)
S (0.000, 0.000, 0.500)
I (0.500, 0.500, 0.000)
Br (0.500, 0.500, 0.500)

The spin magnetization is 2.507 Bohr magnetons per cell. Its distance to the lowest polymorph of the same formula is 501.7 meV/atom. For the total DFT energy (no corrections), the calculation gives -9.03 eV/cell. The formation energy from raw total energies comes out at 1.058 eV/atom.

=====

DFT (PBE) results for an optimized crystal structure of SeSIBr2.

Unit cell a=5.750 b=5.750 c=5.477 alpha=90.00 beta=90.00 gamma=90.00
Positions (direct):
Se (0.000, 0.000, 0.000)
S (0.500, 0.500, 0.000)
I (0.000, 0.000, 0.500)
Br (0.000, 0.500, 0.500)
Br (0.500, 0.000, 0.500)

The spin magnetization is 2.604 Bohr magnetons per cell. Its distance to the lowest polymorph of the same formula is 422.0 meV/atom. For the total DFT energy (no corrections), the calculation gives -8.22 eV/cell. The formation energy from raw total energies comes out at 0.858 eV/atom.

=====

DFT (PBE) results for an optimized crystal structure of SeSIBr2.

Unit cell a=4.864 b=4.864 c=5.952 alpha=90.00 beta=90.00 gamma=90.00
Positions (direct):
Se (0.000, 0.000, 0.000)
S (0.000, 0.000, 0.500)
I (0.500, 0.500, 0.000)
Br (0.000, 0.500, 0.500)
Br (0.500, 0.000, 0.500)

The spin magnetization is 0.000 Bohr magnetons per cell. Its distance to the lowest polymorph of the same formula is 0.0 meV/atom. For the total DFT energy (no corrections), the calculation gives -10.33 eV/cell. The formation energy from raw total energies comes out at 0.436 eV/atom.

=====

DFT (PBE) results for an optimized crystal structure of Se2SIBr.

Unit cell a=5.038 b=5.038 c=5.102 alpha=90.00 beta=90.00 gamma=90.00
Positions (direct):
Se (0.000, 0.500, 0.000)
Se (0.500, 0.000, 0.000)
S (0.000, 0.000, 0.000)
I (0.500, 0.500, 0.500)
Br (0.000, 0.000, 0.500)

The spin magnetization is 0.000 Bohr magnetons per cell. Its distance to the lowest polymorph of the same formula is 0.0 meV/atom. For the total DFT energy (no corrections), the calculation gives -11.54 eV/cell. The formation energy from raw total energies comes out at 0.556 eV/atom.